# AcPm3Nd12 (PBE-GGA, optimized geometry)
data_AcPm3Nd12
_space_group_name_H-M_alt 'P 4/m m m'
_space_group_IT_number 123
_space_group_name_Hall '-P 4 2'
_cell_length_a 5.223
_cell_length_b 5.223
_cell_length_c 20.888
_cell_angle_alpha 90.00
_cell_angle_beta 90.00
_cell_angle_gamma 90.00
loop_
_atom_site_label
_atom_site_type_symbol
_atom_site_fract_x
_atom_site_fract_y
_atom_site_fract_z
_atom_site_occupancy
Ac1 Ac 0.000 0.000 0.000 1
Pm1 Pm 0.000 0.000 0.252 1
Pm2 Pm 0.000 0.000 0.500 1
Nd1 Nd 0.000 0.500 0.129 1
Nd2 Nd 0.000 0.500 0.376 1
Nd3 Nd 0.500 0.500 0.000 1
Nd4 Nd 0.500 0.500 0.253 1
Nd5 Nd 0.500 0.500 0.500 1
# ΔH_f (0 K) = 16 meV/atom
# mass density = 6.97 g/cm³
# final energy = -4.71 eV per atom
# D(E_F) = 25.3 states/eV/cell